[1]
Below is crystalline RbNa2Tl3I6 at its relaxed geometry, with properties calculated at the PBE level.

Computed properties:
ΔE_f (raw): -0.984 eV per atom
magnetization: 0.000 μB per cell

Cell: 21.4681 4.9252 9.9644 Å, 90.00 103.38 90.00°
Space group C2/m (No. 12)
One atom of each set of equivalent atoms:
1 Rb 0.0000 0.0000 0.0000 x2
2 Na 0.1716 0.5000 0.3391 x4
3 Tl 0.0000 0.0000 0.5000 x2
4 Tl 0.1645 0.5000 0.8281 x4
5 I 0.0150 0.5000 0.2653 x4
6 I 0.1726 0.0000 0.5735 x4
7 I 0.1737 0.0000 0.1054 x4

=====

[2]
Below is crystalline LaPm2Sm3 at its relaxed geometry, with properties calculated at the PBE level.

Computed properties:
ΔE to the lowest computed polymorph: 0 meV/atom
magnetization: 0.000 μB per cell
energy of formation: 0.02 eV per atom

Cell: 5.1683 15.5665 5.1657 Å, 90.00 90.00 90.00°
Space group Cmmm (No. 65)
One atom of each set of equivalent atoms:
1 La 0.0000 0.0000 0.0000 x2
2 Pm 0.0000 0.3318 0.0000 x4
3 Sm 0.0000 0.1672 0.5000 x4
4 Sm 0.0000 0.5000 0.5000 x2

=====

[3]
Below is crystalline MgGa3Pd7 at its relaxed geometry, with properties calculated at the PBE level.

Computed properties:
magnetization: 0.000 μB per cell
energy of formation: -0.48 eV per atom

Cell: 8.3535 8.3951 5.2008 Å, 90.00 98.06 90.00°
Space group C2/m (No. 12)
One atom of each set of equivalent atoms:
1 Mg 0.0000 0.0000 0.0000 x2
2 Ga 0.0000 0.2948 0.5000 x4
3 Ga 0.0000 0.5000 0.0000 x2
4 Pd 0.0000 0.0000 0.5000 x2
5 Pd 0.2075 0.5000 0.7074 x4
6 Pd 0.2340 0.3299 0.2308 x8

=====

[4]
Below is crystalline LiMg2Te at its relaxed geometry, with properties calculated at the PBE level.

Computed properties:
ΔE_f (raw): -0.099 eV per atom
magnetization: 0.000 μB per cell

Cell: 3.6584 3.6584 27.0979 Å, 90.00 90.00 120.00°
Space group R-3m (No. 166, hexagonal axes)
One atom of each set of equivalent atoms:
1 Li 0.0000 0.0000 0.0000 x3
2 Mg 0.0000 0.0000 0.2451 x6
3 Te 0.0000 0.0000 0.5000 x3

=====

[5]
Below is crystalline NdErHg2 at its relaxed geometry, with properties calculated at the PBE level.

Computed properties:
ΔE to the lowest computed polymorph: 0 meV/atom
magnetization: 0.503 μB per cell
energy of formation: -0.48 eV per atom

Cell: 3.7172 3.7172 7.7173 Å, 90.00 90.00 90.00°
Space group P4/mmm (No. 123)
One atom of each set of equivalent atoms:
1 Nd 0.0000 0.0000 0.0000 x1
2 Er 0.0000 0.0000 0.5000 x1
3 Hg 0.5000 0.5000 0.2710 x2

=====

[6]
Below is crystalline Li4H5Rh at its relaxed geometry, with properties calculated at the PBE level.

Computed properties:
ΔE to the lowest computed polymorph: 57 meV/atom
magnetization: 0.000 μB per cell

Cell: 3.9473 9.1266 9.1257 Å, 90.00 90.00 90.00°
Space group Cmcm (No. 63)
One atom of each set of equivalent atoms:
1 Li 0.0000 0.1017 0.1059 x8
2 Li 0.0000 0.3928 0.1032 x8
3 H 0.0000 0.1158 0.6135 x8
4 H 0.0000 0.2484 0.2500 x4
5 H 0.0000 0.3887 0.6149 x8
6 Rh 0.0000 0.2519 0.7500 x4

=====

[7]
Below is crystalline CsSn3Pb2 at its relaxed geometry, with properties calculated at the PBE level.

Computed properties:
ΔE to the lowest computed polymorph: 6 meV/atom
magnetization: 0.000 μB per cell
energy of formation: -0.07 eV per atom

Cell: 6.5229 8.4886 8.1513 Å, 90.00 90.02 90.00°
Space group P2_1/m (No. 11)
One atom of each set of equivalent atoms:
1 Cs 0.1442 0.2500 0.2492 x2
2 Sn 0.0059 0.7500 0.2510 x2
3 Sn 0.3698 0.7500 0.0385 x2
4 Sn 0.3709 0.7500 0.4624 x2
5 Pb 0.3548 0.0191 0.7502 x4